V2CdRuO8: relaxed, PBE with a Hubbard U.

Cell lengths 5.6463, 5.6463, 6.1935 Å; angles 90.00, 90.00, 120.00 degrees
Closest atoms and distances in Å follow each position.
Fractional coordinates of all 12 atoms:
V: 0.3333 0.6667 0.2182  4 O 1.64-1.79
V: 0.6667 0.3333 0.7818  4 O 1.64-1.79
Cd: 0.0000 0.0000 0.0000  6 O 2.41
Ru: 0.0000 0.0000 0.5000  6 O 1.98
O: 0.1576 0.3151 0.2989  1 V 1.79, 1 Ru 1.98
O: 0.1576 0.8424 0.2989  1 V 1.79, 1 Ru 1.98
O: 0.3151 0.1576 0.7011  1 V 1.79, 1 Ru 1.98
O: 0.3333 0.6667 0.9529  1 V 1.64
O: 0.6667 0.3333 0.0471  1 V 1.64
O: 0.6849 0.8424 0.2989  1 V 1.79, 1 Ru 1.98
O: 0.8424 0.1576 0.7011  1 V 1.79, 1 Ru 1.98
O: 0.8424 0.6849 0.7011  1 V 1.79, 1 Ru 1.98

Values from the calculation:
Symmetry: P-3m1, No. 164
Uncorrected energy, eV per atom: -6.785
V, Å³ per cell: 171.0
Total magnetization, μB/atom: 0.168
N(E_F), states/eV/f.u.: 5.5
Crystal system: trigonal